1.
Material: TaFe2Re
Method: DFT, GGA-PBE
State: relaxed

Unit cell a=4.573 b=4.573 c=4.573 alpha=130.39 beta=130.39 gamma=72.79
Fractional positions:
Ta1 0.000 0.000 0.000
Fe1 0.250 0.750 0.500
Fe2 0.750 0.250 0.500
Re1 0.500 0.500 0.000

Properties
Calculated density   14.67 g cm⁻³
Formation energy   17 kJ/mol of formula units
Density of states at the Fermi level   4.84 states/eV/cell
Final energy   -41.05 eV per cell

***

2.
Material: La2TlAg
Method: DFT, GGA-PBE
State: relaxed

Unit cell a=3.848 b=3.824 c=8.095 alpha=90.00 beta=90.14 gamma=90.00
Fractional positions:
La1 0.000 0.000 0.237
La2 0.000 0.000 0.763
Tl1 0.500 0.500 0.500
Ag1 0.500 0.500 0.000

Properties
Calculated density   8.22 g cm⁻³
Formation energy   -130 kJ/mol of formula units
Density of states at the Fermi level   4.44 states/eV/cell
Final energy   -16.42 eV per cell
Relative energy among the computed polymorphs   0.0045 eV/atom